A plane-wave DFT calculation with PBE was carried out for crystalline SmBeC at its relaxed geometry.

calculated volume: 14.9 Å³ per atom
final energy: -5.96 eV/atom
density of states at the Fermi level: 0.16 states/eV per atom
energy above the most stable polymorph in this dataset: 0.079 eV per atom

a b c (Å): 3.322 5.337 10.077
angles (deg): 90.00 90.00 90.00
Sites, in units of the cell vectors:
Sm (0.250, 0.606, 0.142)
Sm (0.750, 0.394, 0.858)
C (0.750, 0.780, 0.978)
Be (0.250, 0.420, 0.567)
Sm (0.250, 0.106, 0.358)
Sm (0.750, 0.894, 0.642)
Be (0.750, 0.080, 0.067)
Be (0.750, 0.580, 0.433)
Be (0.250, 0.920, 0.933)
C (0.250, 0.220, 0.022)
C (0.750, 0.280, 0.522)
C (0.250, 0.720, 0.478)